The following is a DFT calculation (meta-GGA SCAN) of Rb2BBr at its PBEsol-relaxed geometry.

Geometry as POSCAR:
```
Rb2BBr
1.0
8.042 0.000 0.000
0.000 8.042 0.000
0.000 0.000 8.042
Rb B Br
8 4 4
direct
0.250 0.250 0.250
0.250 0.250 0.750
0.250 0.750 0.250
0.250 0.750 0.750
0.750 0.250 0.250
0.750 0.250 0.750
0.750 0.750 0.250
0.750 0.750 0.750
0.000 0.000 0.000
0.000 0.500 0.500
0.500 0.000 0.500
0.500 0.500 0.000
0.000 0.000 0.500
0.000 0.500 0.000
0.500 0.000 0.000
0.500 0.500 0.500
```

As for the space group: Fm-3m, No. 225. As for the energy relative to the elements, uncorrected: 12.3 kJ/mol of atoms.